NaTePb2 after structural relaxation. Source: the Alexandria database, functional PBE.

abc: 7.3730 7.3730 7.3730
angles: 100.58 100.58 129.24
Atoms (fractional coordinates):
Na (0.0000, 0.0000, 0.0000)
Na (0.7500, 0.2500, 0.5000)
Te (0.2500, 0.7500, 0.5000)
Te (0.5000, 0.5000, 0.0000)
Pb (0.1647, 0.1250, 0.5397)
Pb (0.3750, 0.8353, 0.9603)
Pb (0.5853, 0.6250, 0.4603)
Pb (0.8750, 0.4147, 0.0397)

## Properties
* DOS at the Fermi energy: 3.613 states/eV per cell
* energy relative to the elements, uncorrected: -0.156 eV/atom
* space-group type: I-42d (122)
* crystal system: tetragonal

---

PuSnPdPt after structural relaxation. Source: the Alexandria database, functional PBE.

abc: 4.8518 4.8518 4.8518
angles: 60.00 60.00 60.00
Atoms (fractional coordinates):
Pu (0.0000, 0.0000, 0.0000)
Sn (0.5000, 0.5000, 0.5000)
Pd (0.7500, 0.7500, 0.7500)
Pt (0.2500, 0.2500, 0.2500)

## Properties
* DOS at the Fermi energy: 11.650 states/eV per cell
* space-group type: F-43m (216)
* formation enthalpy at 0 K: -0.581 eV/atom
* crystal system: cubic

---

Cs8Rb after structural relaxation. Source: the Alexandria database, functional PBE.

abc: 12.0394 12.0394 12.0394
angles: 95.91 95.91 142.56
Atoms (fractional coordinates):
Cs (0.0000, 0.3304, 0.3304)
Cs (0.0000, 0.6696, 0.6696)
Cs (0.3304, 0.0000, 0.3304)
Cs (0.3364, 0.3364, 0.6727)
Cs (0.3364, 0.6636, 0.0000)
Cs (0.6636, 0.3364, 0.0000)
Cs (0.6636, 0.6636, 0.3273)
Cs (0.6696, 0.0000, 0.6696)
Rb (0.0000, 0.0000, 0.0000)

## Properties
* DOS at the Fermi energy: 10.175 states/eV per cell
* space-group type: I4/mmm (139)
* formation enthalpy at 0 K: 0.001 eV/atom
* crystal system: tetragonal